1.
Here is an optimized crystal structure of SrAcP4 from the Alexandria database. Energies are from PBE.

Unit cell a=5.628 b=5.628 c=5.628 alpha=60.00 beta=60.00 gamma=60.00
Element x y z (fractional)
Ac  0.250  0.250  0.250
P  0.116  0.628  0.628
P  0.628  0.628  0.116
P  0.628  0.116  0.628
Sr  0.000  0.000  0.000
P  0.628  0.628  0.628

## Properties
Final energy ... -4.92 eV/atom
Formation energy ... -0.35 eV/atom

2.
Here is an optimized crystal structure of SrAc2ThP4 from the Alexandria database. Energies are from PBE.

Unit cell a=4.360 b=7.540 c=7.519 alpha=109.21 beta=90.00 gamma=90.00
Element x y z (fractional)
P  0.500  0.235  0.235
P  0.000  0.237  0.758
P  0.500  0.765  0.765
Sr  0.500  0.500  0.000
Th  0.000  0.000  0.000
Ac  0.500  0.000  0.500
Ac  0.000  0.500  0.500
P  0.000  0.763  0.242

## Properties
Final energy ... -6.26 eV/atom
Formation energy ... -1.39 eV/atom

3.
Here is an optimized crystal structure of Sr3Ac2UP6 from the Alexandria database. Energies are from PBE.

Unit cell a=7.510 b=7.510 c=7.472 alpha=99.77 beta=99.77 gamma=119.95
Element x y z (fractional)
P  0.778  0.778  0.220
P  0.625  0.925  0.775
P  0.925  0.625  0.775
P  0.375  0.075  0.225
P  0.222  0.222  0.780
Sr  0.500  0.500  0.500
Ac  0.334  0.666  0.000
Sr  0.831  0.169  0.500
U  0.000  0.000  0.000
P  0.075  0.375  0.225
Ac  0.666  0.334  0.000
Sr  0.169  0.831  0.500

## Properties
Final energy ... -5.93 eV/atom
Formation energy ... -1.18 eV/atom

4.
Here is an optimized crystal structure of AcTbP from the Alexandria database. Energies are from PBE.

Unit cell a=4.081 b=4.081 c=13.972 alpha=81.60 beta=81.60 gamma=60.00
Last column: magnetic moment on the atom in μB.
Element x y z (fractional)
Ac  0.713  0.713  0.862  0.05
P  0.425  0.425  0.725  0.00
P  0.575  0.575  0.275  0.00
Ac  0.287  0.287  0.138  0.05
Tb  0.872  0.872  0.383  0.20
Tb  0.128  0.128  0.617  0.20

## Properties
Final energy ... -5.61 eV/atom
Formation energy ... -0.89 eV/atom

5.
Here is an optimized crystal structure of Ac2TbP3 from the Alexandria database. Energies are from PBE.

Unit cell a=7.472 b=7.472 c=13.639 alpha=100.51 beta=100.51 gamma=109.52
Element x y z (fractional)
P  0.017  0.517  0.500
P  0.852  0.337  0.173
Tb  0.166  0.666  0.333
Tb  0.084  0.084  0.167
Ac  0.749  0.749  0.498
P  0.233  0.233  0.000
P  0.483  0.983  0.500
Ac  0.583  0.583  0.166
P  0.663  0.148  0.827
P  0.398  0.413  0.327
P  0.321  0.836  0.173
Tb  0.334  0.834  0.667
Tb  0.916  0.916  0.833
P  0.767  0.767  0.000
Ac  0.667  0.167  0.334
Ac  0.251  0.251  0.502
P  0.164  0.679  0.827
Ac  0.501  0.001  0.002
Ac  0.417  0.417  0.834
P  0.086  0.071  0.673
P  0.587  0.602  0.673
Ac  0.833  0.333  0.666
P  0.929  0.914  0.327
Ac  0.999  0.499  0.998

## Properties
Final energy ... -6.31 eV/atom
Formation energy ... -1.47 eV/atom

6.
Here is an optimized crystal structure of AcTb2P from the Alexandria database. Energies are from PBE.

Unit cell a=3.836 b=3.836 c=10.850 alpha=79.82 beta=79.82 gamma=60.00
Element x y z (fractional)
Tb  0.116  0.116  0.651
P  0.500  0.500  0.500
Ac  0.000  0.000  0.000
Tb  0.884  0.884  0.349

## Properties
Final energy ... -5.28 eV/atom
Formation energy ... -0.59 eV/atom

7.
Here is an optimized crystal structure of AcTb4P5 from the Alexandria database. Energies are from PBE.

Unit cell a=4.114 b=7.125 c=9.221 alpha=75.16 beta=77.11 gamma=73.22
Element x y z (fractional)
Tb  0.200  0.393  0.207
P  0.608  0.676  0.108
P  0.795  0.098  0.312
Ac  0.000  0.000  0.000
P  0.000  0.500  0.500
P  0.205  0.902  0.688
P  0.392  0.324  0.892
Tb  0.402  0.795  0.401
Tb  0.800  0.607  0.793
Tb  0.598  0.205  0.599

## Properties
Final energy ... -6.51 eV/atom
Formation energy ... -1.54 eV/atom

8.
Here is an optimized crystal structure of AcTbP from the Alexandria database. Energies are from PBE.

Unit cell a=6.932 b=4.085 c=4.085 alpha=120.00 beta=90.00 gamma=90.00
Last column: magnetic moment on the atom in μB.
Element x y z (fractional)
Ac  0.747  0.667  0.333  0.05
P  0.022  0.000  0.000  -0.01
Tb  0.231  0.333  0.667  0.19

## Properties
Final energy ... -5.59 eV/atom
Formation energy ... -0.88 eV/atom

What is the formula in the fifth record?
Ac2TbP3